# 1
VASP calculation (PBE) on an optimized crystal structure of NaReTc2P.

Its crystal system is tetragonal. Its energy of formation from the pure elements is 1.798 eV per atom.

Cell and atoms, written as CIF:
```
data_NaReTc2P
_cell_length_a 4.666
_cell_length_b 4.666
_cell_length_c 5.193
_cell_angle_alpha 90.00
_cell_angle_beta 90.00
_cell_angle_gamma 90.00
_space_group_name_H-M_alt 'P 4/m m m'
_space_group_IT_number 123
_space_group_name_Hall '-P 4 2'
loop_
_atom_site_label
_atom_site_type_symbol
_atom_site_fract_x
_atom_site_fract_y
_atom_site_fract_z
Na1 Na 0.000 0.000 0.000
Re1 Re 0.000 0.000 0.500
Tc1 Tc 0.000 0.500 0.500
P1 P 0.500 0.500 0.000
```


# 2
VASP calculation (PBE) on an optimized crystal structure of AsIrS.

Its crystal system is triclinic. The uncorrected formation energy is -17.5 kJ per mole of atoms.

Cell and atoms, written as CIF:
```
data_AsIrS
_cell_length_a 3.564
_cell_length_b 5.575
_cell_length_c 6.206
_cell_angle_alpha 94.62
_cell_angle_beta 100.40
_cell_angle_gamma 90.24
_space_group_name_H-M_alt 'P -1'
_space_group_IT_number 2
loop_
_space_group_symop_operation_xyz
'x,y,z'
'-x,-y,-z'
loop_
_atom_site_label
_atom_site_type_symbol
_atom_site_fract_x
_atom_site_fract_y
_atom_site_fract_z
As1 As 0.163 0.366 0.220
Ir1 Ir 0.247 0.703 0.497
S1 S 0.312 0.110 0.695
```


# 3
VASP calculation (PBE) on an optimized crystal structure of Li2GePd.

Its crystal system is cubic. Its energy of formation from the pure elements is -0.550 eV per atom.

Cell and atoms, written as CIF:
```
data_Li2GePd
_cell_length_a 6.075
_cell_length_b 6.075
_cell_length_c 6.075
_cell_angle_alpha 90.00
_cell_angle_beta 90.00
_cell_angle_gamma 90.00
_space_group_name_H-M_alt 'F -4 3 m'
_space_group_IT_number 216
_space_group_name_Hall 'F -4 2 3'
loop_
_atom_site_label
_atom_site_type_symbol
_atom_site_fract_x
_atom_site_fract_y
_atom_site_fract_z
Li1 Li 0.000 0.000 0.000
Li2 Li 0.250 0.250 0.250
Ge1 Ge 0.000 0.000 0.500
Pd1 Pd 0.250 0.250 0.750
```